[1]
# Cs2Zr2Hg

A geometry-optimized Cs2Zr2Hg structure (PBE-GGA, Alexandria via LeMat-Bulk).

It has space group I4/mmm (No. 139), with a = 4.556 Å, b = 4.556 Å, c = 17.917 Å, α = 90.00°, β = 90.00° and γ = 90.00°. Symmetry generates all atoms from Cs at (0.000, 0.500, 0.250), Zr at (0.000, 0.000, 0.067) and Hg at (0.000, 0.000, 0.500).

For the formation energy from the elements, the calculation gives 1.138 eV/atom. The total moment comes out at 0.0 μB per cell.

---

[2]
# CsZrHg

A geometry-optimized CsZrHg structure (PBE-GGA, Alexandria via LeMat-Bulk).

It has space group Pm (No. 6), with a = 3.587 Å, b = 4.702 Å, c = 14.005 Å, α = 90.00°, β = 90.29° and γ = 90.00°. Symmetry generates all atoms from Cs at (0.000, 0.000, 0.000), Cs at (0.487, 0.500, 0.343), Zr at (0.493, 0.500, 0.595), Zr at (0.996, 0.500, 0.767), Hg at (0.496, 0.000, 0.752) and Hg at (0.992, 0.000, 0.535).

For the formation energy from the elements, the calculation gives 0.156 eV/atom. The energy above the most stable polymorph in this dataset is 94.9 meV/atom. The total moment comes out at 0.0 μB per cell.